Entry 1:
! ScGeIr | Alexandria via LeMat-Bulk | PBE | optimized geometry; values from VASP
&SYSTEM
  ibrav = 0, nat = 12, ntyp = 3
/
ATOMIC_SPECIES
Sc 44.96 Sc.upf
Ir 192.22 Ir.upf
Ge 72.64 Ge.upf
CELL_PARAMETERS angstrom
-0.869 2.838 2.914
3.925 -3.084 4.175
5.787 4.184 -2.350
ATOMIC_POSITIONS crystal
Sc 0.750 0.484 0.811
Sc 0.750 0.984 0.689
Sc 0.250 0.516 0.189
Sc 0.250 0.016 0.311
Ir 0.250 0.662 0.558
Ir 0.750 0.338 0.442
Ir 0.750 0.838 0.058
Ir 0.250 0.162 0.942
Ge 0.250 0.280 0.621
Ge 0.750 0.220 0.121
Ge 0.750 0.720 0.379
Ge 0.250 0.780 0.879
! calculated total energy: -7.55 eV/atom
! energy of formation: -0.950 eV/atom
! magnetic moment: 0.00 μB per formula unit

Entry 2:
! Sc4GeIr2 | Alexandria via LeMat-Bulk | PBE | optimized geometry; values from VASP
&SYSTEM
  ibrav = 0, nat = 7, ntyp = 3
/
ATOMIC_SPECIES
Sc 44.96 Sc.upf
Ir 192.22 Ir.upf
Ge 72.64 Ge.upf
CELL_PARAMETERS angstrom
-3.845 -0.551 2.417
0.218 -0.702 4.516
-1.534 6.957 3.473
ATOMIC_POSITIONS crystal
Sc 0.617 0.617 0.148
Sc 0.870 0.870 0.389
Sc 0.383 0.383 0.852
Sc 0.130 0.130 0.611
Ir 0.748 0.748 0.756
Ir 0.252 0.252 0.244
Ge 0.000 0.000 0.000
! calculated total energy: -7.62 eV/atom
! energy of formation: -0.813 eV/atom
! magnetic moment: 0.00 μB per formula unit

Entry 3:
! ScGeIr3 | Alexandria via LeMat-Bulk | PBE | optimized geometry; values from VASP
&SYSTEM
  ibrav = 0, nat = 5, ntyp = 3
/
ATOMIC_SPECIES
Ge 72.64 Ge.upf
Sc 44.96 Sc.upf
Ir 192.22 Ir.upf
CELL_PARAMETERS angstrom
-0.081 4.381 1.220
-4.429 0.202 -1.017
-1.033 -1.206 4.262
ATOMIC_POSITIONS crystal
Ge 0.000 0.000 0.000
Sc 0.500 0.500 0.500
Ir 0.500 0.000 0.000
Ir 0.000 0.500 0.000
Ir 0.000 0.000 0.500
! calculated total energy: -7.18 eV/atom
! energy of formation: 0.324 eV/atom
! polymorph energy (0 for the lowest one): 3.802 eV/f.u.
! magnetic moment: 0.00 μB per formula unit

Entry 4:
! ScGeIr | Alexandria via LeMat-Bulk | PBE | optimized geometry; values from VASP
&SYSTEM
  ibrav = 0, nat = 12, ntyp = 3
/
ATOMIC_SPECIES
Ir 192.22 Ir.upf
Sc 44.96 Sc.upf
Ge 72.64 Ge.upf
CELL_PARAMETERS angstrom
7.145 0.000 0.000
0.000 7.145 0.000
0.000 0.000 5.592
ATOMIC_POSITIONS crystal
Ir 0.845 0.845 0.500
Ir 0.155 0.155 0.000
Ir 0.655 0.345 0.750
Ir 0.345 0.655 0.250
Sc 0.176 0.824 0.750
Sc 0.676 0.676 0.000
Sc 0.824 0.176 0.250
Sc 0.324 0.324 0.500
Ge 0.111 0.889 0.250
Ge 0.611 0.611 0.500
Ge 0.389 0.389 0.000
Ge 0.889 0.111 0.750
! calculated total energy: -6.92 eV/atom
! energy of formation: -0.321 eV/atom
! magnetic moment: 0.00 μB per formula unit

Entry 5:
! ScGe2Ir2 | Alexandria via LeMat-Bulk | PBE | optimized geometry; values from VASP
&SYSTEM
  ibrav = 0, nat = 5, ntyp = 3
/
ATOMIC_SPECIES
Ge 72.64 Ge.upf
Sc 44.96 Sc.upf
Ir 192.22 Ir.upf
CELL_PARAMETERS angstrom
4.301 0.002 0.001
2.150 3.725 0.001
2.150 1.242 4.973
ATOMIC_POSITIONS crystal
Ge 0.409 0.909 0.774
Ge 0.591 0.091 0.226
Sc 0.000 0.500 0.000
Ir 0.221 0.721 0.336
Ir 0.779 0.279 0.664
! calculated total energy: -7.17 eV/atom
! energy of formation: -0.517 eV/atom
! magnetic moment: 0.00 μB per formula unit

Entry 6:
! Sc6GeIr5 | Alexandria via LeMat-Bulk | PBE | optimized geometry; values from VASP
&SYSTEM
  ibrav = 0, nat = 12, ntyp = 3
/
ATOMIC_SPECIES
Sc 44.96 Sc.upf
Ir 192.22 Ir.upf
Ge 72.64 Ge.upf
CELL_PARAMETERS angstrom
-3.338 3.103 0.774
-3.130 -2.063 -5.229
-0.184 -5.165 6.105
ATOMIC_POSITIONS crystal
Sc 0.500 0.745 0.000
Sc 0.500 0.255 0.000
Sc 0.832 0.084 0.663
Sc 0.832 0.579 0.663
Sc 0.168 0.421 0.337
Sc 0.168 0.916 0.337
Ir 0.334 0.334 0.667
Ir 0.667 0.167 0.334
Ir 0.666 0.666 0.333
Ir 0.333 0.833 0.666
Ir 0.000 0.500 0.000
Ge 0.000 0.000 0.000
! calculated total energy: -8.18 eV/atom
! energy of formation: -0.942 eV/atom
! magnetic moment: 0.00 μB per formula unit

Entry 7:
! Sc3Ge2Ir | Alexandria via LeMat-Bulk | PBE | optimized geometry; values from VASP
&SYSTEM
  ibrav = 0, nat = 24, ntyp = 3
/
ATOMIC_SPECIES
Sc 44.96 Sc.upf
Ge 72.64 Ge.upf
Ir 192.22 Ir.upf
CELL_PARAMETERS angstrom
-0.458 -3.806 -1.787
-2.030 -3.932 8.894
-10.715 2.019 -1.553
ATOMIC_POSITIONS crystal
Sc 0.250 0.364 0.049
Sc 0.250 0.807 0.734
Sc 0.750 0.636 0.951
Sc 0.750 0.576 0.646
Sc 0.250 0.424 0.354
Sc 0.250 0.693 0.234
Sc 0.250 0.136 0.549
Sc 0.750 0.924 0.146
Sc 0.750 0.193 0.266
Sc 0.250 0.076 0.854
Sc 0.750 0.864 0.451
Sc 0.750 0.307 0.766
Ge 0.250 0.831 0.003
Ge 0.750 0.169 0.997
Ge 0.750 0.331 0.497
Ge 0.250 0.669 0.503
Ge 0.750 0.014 0.675
Ge 0.750 0.486 0.175
Ge 0.250 0.986 0.325
Ge 0.250 0.514 0.825
Ir 0.750 0.891 0.878
Ir 0.250 0.109 0.122
Ir 0.250 0.391 0.622
Ir 0.750 0.609 0.378
! calculated total energy: -7.02 eV/atom
! energy of formation: -0.843 eV/atom
! magnetic moment: 0.00 μB per formula unit

Entry 8:
! ScSiGe2Ir | Alexandria via LeMat-Bulk | PBE | optimized geometry; values from VASP
&SYSTEM
  ibrav = 0, nat = 5, ntyp = 4
/
ATOMIC_SPECIES
Ge 72.64 Ge.upf
Sc 44.96 Sc.upf
Ir 192.22 Ir.upf
Si 28.09 Si.upf
CELL_PARAMETERS angstrom
4.773 0.000 0.000
0.000 4.455 0.000
0.000 0.000 4.773
ATOMIC_POSITIONS crystal
Ge 0.000 0.000 0.500
Ge 0.500 0.000 0.000
Sc 0.500 0.500 0.500
Ir 0.000 0.500 0.000
Si 0.000 0.000 0.000
! calculated total energy: -5.69 eV/atom
! energy relative to the elements, uncorrected: 0.280 eV/atom
! magnetic moment: 0.00 μB per formula unit